Entry 1:
The following is a DFT calculation (GGA-PBEsol) of a relaxed NaIn2Hg2 crystal.

Output
Final energy   -1.815 eV per atom
Crystal system   tetragonal
DOS at the Fermi energy   3.30 states/eV per cell

a b c (Å): 3.8264 8.0907 8.0907
angles (deg): 90.00 90.00 90.00
With the nearest neighbours (Å) after each atom.
Sites, in units of the cell vectors:
Na 0.0000 0.0000 0.0000  4 Hg 3.11
Na 0.0000 0.5000 0.5000  4 Hg 3.11
Hg 0.0000 0.8563 0.6437  6 In 2.98-3.09, 2 Na 3.11, 1 Hg 3.29
Hg 0.0000 0.6437 0.1437  6 In 2.98-3.09, 2 Na 3.11, 1 Hg 3.29
Hg 0.0000 0.1437 0.3563  6 In 2.98-3.09, 2 Na 3.11, 1 Hg 3.29
Hg 0.0000 0.3563 0.8563  6 In 2.98-3.09, 2 Na 3.11, 1 Hg 3.29
In 0.5000 0.6565 0.8435  6 Hg 2.98-3.09
In 0.5000 0.1565 0.6565  6 Hg 2.98-3.09
In 0.5000 0.3435 0.1565  6 Hg 2.98-3.09
In 0.5000 0.8435 0.3435  6 Hg 2.98-3.09


Entry 2:
The following is a DFT calculation (GGA-PBEsol) of a relaxed KW2Se crystal.

Output
Crystal system   monoclinic
Formation energy (no corrections)   1.1315 eV/atom
DOS at the Fermi energy   2.74 states/eV per cell

a b c (Å): 2.6013 5.1390 6.5340
angles (deg): 112.57 100.39 92.71
With the nearest neighbours (Å) after each atom.
Sites, in units of the cell vectors:
W 0.5000 0.5000 0.5000  4 W 2.60-2.82
W 0.0000 0.0000 0.5000  4 W 2.60-2.82
Se 0.5000 0.5000 0.0000  2 Se 2.60, 2 K 2.82
K 0.0000 0.0000 0.0000  2 K 2.60, 2 Se 2.82


no.,total magnetization (Bohr magnetons per cell)
1,0.00
2,0.00